(1)
! PBE-GGA AlCdSb2, optimized geometry; values from VASP
&SYSTEM
  ibrav = 0, nat = 4, ntyp = 3
/
ATOMIC_SPECIES
Al 26.98 Al.upf
Cd 112.41 Cd.upf
Sb 121.76 Sb.upf
ATOMIC_POSITIONS crystal
Al 0.000 0.000 0.000
Cd 0.500 0.500 0.211
Sb 0.000 0.000 0.460
Sb 0.500 0.500 0.778
CELL_PARAMETERS angstrom
3.143 0.000 0.000
0.000 3.143 0.000
0.000 0.000 9.984
! - DOS at the Fermi energy (states/eV/f.u.) = 2.1
! - space group = P4mm
! - ρ (g cm⁻³) = 6.45
! - polymorph energy (0 for the lowest one) (eV/atom) = 0.183
! - electronic total energy (hartree per atom) = -0.111
! - magnetic moment (μB/f.u.) = 0.0



(2)
! PBE-GGA AlCd2Sb, optimized geometry; values from VASP
&SYSTEM
  ibrav = 0, nat = 4, ntyp = 3
/
ATOMIC_SPECIES
Al 26.98 Al.upf
Cd 112.41 Cd.upf
Sb 121.76 Sb.upf
ATOMIC_POSITIONS crystal
Al 0.000 0.000 0.000
Cd 0.000 0.000 0.481
Cd 0.500 0.500 0.246
Sb 0.500 0.500 0.785
CELL_PARAMETERS angstrom
3.245 0.000 0.000
0.000 4.113 0.000
0.000 0.000 6.987
! - DOS at the Fermi energy (states/eV/f.u.) = 1.1
! - space group = Pmm2
! - ρ (g cm⁻³) = 6.65
! - polymorph energy (0 for the lowest one) (eV/atom) = 0.052
! - electronic total energy (hartree per atom) = -0.084
! - magnetic moment (μB/f.u.) = 0.0



(3)
! PBE-GGA Al3Cd12Sb5, optimized geometry; values from VASP
&SYSTEM
  ibrav = 0, nat = 80, ntyp = 3
/
ATOMIC_SPECIES
Al 26.98 Al.upf
Cd 112.41 Cd.upf
Sb 121.76 Sb.upf
ATOMIC_POSITIONS crystal
Al 0.125 0.250 0.375
Al 0.125 0.375 0.750
Al 0.250 0.375 0.125
Al 0.250 0.875 0.625
Al 0.375 0.125 0.250
Al 0.375 0.750 0.125
Al 0.625 0.250 0.875
Al 0.625 0.875 0.750
Al 0.750 0.125 0.375
Al 0.750 0.625 0.875
Al 0.875 0.625 0.250
Al 0.875 0.750 0.625
Cd 0.061 0.626 0.387
Cd 0.061 0.935 0.674
Cd 0.065 0.239 0.126
Cd 0.065 0.326 0.939
Cd 0.113 0.739 0.674
Cd 0.113 0.874 0.439
Cd 0.126 0.065 0.239
Cd 0.126 0.561 0.887
Cd 0.174 0.239 0.613
Cd 0.174 0.435 0.561
Cd 0.239 0.126 0.065
Cd 0.239 0.613 0.174
Cd 0.261 0.326 0.887
Cd 0.261 0.435 0.374
Cd 0.326 0.887 0.261
Cd 0.326 0.939 0.065
Cd 0.374 0.261 0.435
Cd 0.374 0.613 0.939
Cd 0.387 0.061 0.626
Cd 0.387 0.826 0.761
Cd 0.435 0.374 0.261
Cd 0.435 0.561 0.174
Cd 0.439 0.113 0.874
Cd 0.439 0.826 0.565
Cd 0.561 0.174 0.435
Cd 0.561 0.887 0.126
Cd 0.565 0.439 0.826
Cd 0.565 0.626 0.739
Cd 0.613 0.174 0.239
Cd 0.613 0.939 0.374
Cd 0.626 0.387 0.061
Cd 0.626 0.739 0.565
Cd 0.674 0.061 0.935
Cd 0.674 0.113 0.739
Cd 0.739 0.565 0.626
Cd 0.739 0.674 0.113
Cd 0.761 0.387 0.826
Cd 0.761 0.874 0.935
Cd 0.826 0.565 0.439
Cd 0.826 0.761 0.387
Cd 0.874 0.439 0.113
Cd 0.874 0.935 0.761
Cd 0.887 0.126 0.561
Cd 0.887 0.261 0.326
Cd 0.935 0.674 0.061
Cd 0.935 0.761 0.874
Cd 0.939 0.065 0.326
Cd 0.939 0.374 0.613
Sb 0.000 0.000 0.000
Sb 0.000 0.000 0.500
Sb 0.000 0.500 0.000
Sb 0.000 0.500 0.500
Sb 0.125 0.750 0.875
Sb 0.125 0.875 0.250
Sb 0.250 0.125 0.875
Sb 0.250 0.625 0.375
Sb 0.375 0.250 0.625
Sb 0.375 0.625 0.750
Sb 0.500 0.000 0.000
Sb 0.500 0.000 0.500
Sb 0.500 0.500 0.000
Sb 0.500 0.500 0.500
Sb 0.625 0.375 0.250
Sb 0.625 0.750 0.375
Sb 0.750 0.375 0.625
Sb 0.750 0.875 0.125
Sb 0.875 0.125 0.750
Sb 0.875 0.250 0.125
CELL_PARAMETERS angstrom
-8.312 8.312 8.312
8.312 -8.312 8.312
8.312 8.312 -8.312
! - DOS at the Fermi energy (states/eV/f.u.) = 7.4
! - space group = Ia-3d
! - ρ (g cm⁻³) = 5.89
! - electronic total energy (hartree per atom) = -0.074
! - magnetic moment (μB/f.u.) = 0.0



(4)
! PBE-GGA AlCd2Sb, optimized geometry; values from VASP
&SYSTEM
  ibrav = 0, nat = 4, ntyp = 3
/
ATOMIC_SPECIES
Al 26.98 Al.upf
Cd 112.41 Cd.upf
Sb 121.76 Sb.upf
ATOMIC_POSITIONS crystal
Al 0.000 0.000 0.000
Cd 0.000 0.000 0.470
Cd 0.500 0.500 0.222
Sb 0.500 0.500 0.758
CELL_PARAMETERS angstrom
3.195 0.000 0.000
0.000 3.195 0.000
0.000 0.000 9.010
! - DOS at the Fermi energy (states/eV/f.u.) = 1.2
! - space group = P4mm
! - ρ (g cm⁻³) = 6.74
! - polymorph energy (0 for the lowest one) (eV/atom) = 0.038
! - electronic total energy (hartree per atom) = -0.084
! - magnetic moment (μB/f.u.) = 0.0



(5)
! PBE-GGA AlCdSb, optimized geometry; values from VASP
&SYSTEM
  ibrav = 0, nat = 6, ntyp = 3
/
ATOMIC_SPECIES
Al 26.98 Al.upf
Cd 112.41 Cd.upf
Sb 121.76 Sb.upf
ATOMIC_POSITIONS crystal
Al 0.054 0.225 0.040
Al 0.946 0.775 0.960
Cd 0.369 0.069 0.674
Cd 0.631 0.931 0.326
Sb 0.242 0.531 0.741
Sb 0.758 0.469 0.259
CELL_PARAMETERS angstrom
4.243 0.000 0.000
-2.004 5.841 0.000
-1.809 -0.944 6.109
! - DOS at the Fermi energy (states/eV/f.u.) = 0.9
! - space group = P-1
! - ρ (g cm⁻³) = 5.73
! - polymorph energy (0 for the lowest one) (eV/atom) = 0.030
! - electronic total energy (hartree per atom) = -0.104
! - magnetic moment (μB/f.u.) = 0.0



(6)
! PBE-GGA AlCdSb2, optimized geometry; values from VASP
&SYSTEM
  ibrav = 0, nat = 4, ntyp = 3
/
ATOMIC_SPECIES
Al 26.98 Al.upf
Cd 112.41 Cd.upf
Sb 121.76 Sb.upf
ATOMIC_POSITIONS crystal
Al 0.000 0.000 0.000
Cd 0.500 0.500 0.255
Sb 0.000 0.000 0.418
Sb 0.500 0.500 0.845
CELL_PARAMETERS angstrom
3.881 0.000 0.000
0.000 3.881 0.000
0.000 0.000 7.044
! - DOS at the Fermi energy (states/eV/f.u.) = 1.6
! - space group = P4mm
! - ρ (g cm⁻³) = 5.99
! - polymorph energy (0 for the lowest one) (eV/atom) = 0.120
! - electronic total energy (hartree per atom) = -0.114
! - magnetic moment (μB/f.u.) = 0.0



(7)
! PBE-GGA Al2Cd2Sb, optimized geometry; values from VASP
&SYSTEM
  ibrav = 0, nat = 10, ntyp = 3
/
ATOMIC_SPECIES
Al 26.98 Al.upf
Cd 112.41 Cd.upf
Sb 121.76 Sb.upf
ATOMIC_POSITIONS crystal
Al 0.000 0.000 0.099
Al 0.000 0.000 0.901
Al 0.500 0.500 0.401
Al 0.500 0.500 0.599
Cd 0.000 0.500 0.250
Cd 0.000 0.500 0.750
Cd 0.500 0.000 0.250
Cd 0.500 0.000 0.750
Sb 0.000 0.000 0.500
Sb 0.500 0.500 0.000
CELL_PARAMETERS angstrom
4.247 0.000 0.000
0.000 4.247 0.000
0.000 0.000 12.740
! - DOS at the Fermi energy (states/eV/f.u.) = 1.4
! - space group = I4/mmm
! - ρ (g cm⁻³) = 5.79
! - polymorph energy (0 for the lowest one) (eV/atom) = 0.004
! - electronic total energy (hartree per atom) = -0.091
! - magnetic moment (μB/f.u.) = 0.0



(8)
! PBE-GGA AlCdSb, optimized geometry; values from VASP
&SYSTEM
  ibrav = 0, nat = 3, ntyp = 3
/
ATOMIC_SPECIES
Al 26.98 Al.upf
Cd 112.41 Cd.upf
Sb 121.76 Sb.upf
ATOMIC_POSITIONS crystal
Al 0.000 0.000 0.000
Cd 0.333 0.667 0.500
Sb 0.667 0.333 0.002
CELL_PARAMETERS angstrom
5.069 0.000 0.000
-2.534 4.390 0.000
0.000 0.000 3.185
! - DOS at the Fermi energy (states/eV/f.u.) = 2.6
! - space group = P3m1
! - ρ (g cm⁻³) = 6.12
! - polymorph energy (0 for the lowest one) (eV/atom) = 0.146
! - electronic total energy (hartree per atom) = -0.100
! - magnetic moment (μB/f.u.) = 0.0



(9)
! PBE-GGA AlCdSb, optimized geometry; values from VASP
&SYSTEM
  ibrav = 0, nat = 9, ntyp = 3
/
ATOMIC_SPECIES
Al 26.98 Al.upf
Cd 112.41 Cd.upf
Sb 121.76 Sb.upf
ATOMIC_POSITIONS crystal
Al 0.000 0.000 0.000
Al 0.333 0.667 0.667
Al 0.667 0.333 0.333
Cd 0.000 0.000 0.695
Cd 0.333 0.667 0.361
Cd 0.667 0.333 0.028
Sb 0.000 0.000 0.298
Sb 0.333 0.667 0.965
Sb 0.667 0.333 0.631
CELL_PARAMETERS angstrom
5.260 0.000 0.000
-2.630 4.556 0.000
0.000 0.000 9.233
! - DOS at the Fermi energy (states/eV/f.u.) = 0.8
! - space group = R3m
! - ρ (g cm⁻³) = 5.88
! - polymorph energy (0 for the lowest one) (eV/atom) = 0.045
! - electronic total energy (hartree per atom) = -0.104
! - magnetic moment (μB/f.u.) = 0.0



(10)
! PBE-GGA Al2CdSb, optimized geometry; values from VASP
&SYSTEM
  ibrav = 0, nat = 12, ntyp = 3
/
ATOMIC_SPECIES
Al 26.98 Al.upf
Cd 112.41 Cd.upf
Sb 121.76 Sb.upf
ATOMIC_POSITIONS crystal
Al 0.000 0.000 0.000
Al 0.000 0.000 0.262
Al 0.333 0.667 0.667
Al 0.333 0.667 0.929
Al 0.667 0.333 0.333
Al 0.667 0.333 0.596
Cd 0.000 0.000 0.749
Cd 0.333 0.667 0.416
Cd 0.667 0.333 0.082
Sb 0.000 0.000 0.518
Sb 0.333 0.667 0.185
Sb 0.667 0.333 0.852
CELL_PARAMETERS angstrom
3.181 0.000 0.000
-1.590 2.754 0.000
0.000 0.000 30.138
! - DOS at the Fermi energy (states/eV/f.u.) = 1.4
! - space group = R3m
! - ρ (g cm⁻³) = 5.44
! - polymorph energy (0 for the lowest one) (eV/atom) = 0.068
! - electronic total energy (hartree per atom) = -0.109
! - magnetic moment (μB/f.u.) = 0.0



(11)
! PBE-GGA Al2CdSb, optimized geometry; values from VASP
&SYSTEM
  ibrav = 0, nat = 8, ntyp = 3
/
ATOMIC_SPECIES
Al 26.98 Al.upf
Cd 112.41 Cd.upf
Sb 121.76 Sb.upf
ATOMIC_POSITIONS crystal
Al 0.000 0.000 0.249
Al 0.000 0.000 0.751
Al 0.500 0.500 0.251
Al 0.500 0.500 0.749
Cd 0.000 0.500 0.000
Cd 0.500 0.000 0.500
Sb 0.000 0.500 0.500
Sb 0.500 0.000 0.000
CELL_PARAMETERS angstrom
4.073 0.000 0.000
0.000 4.753 0.000
0.000 0.000 9.027
! - DOS at the Fermi energy (states/eV/f.u.) = 1.5
! - space group = Immm
! - ρ (g cm⁻³) = 5.48
! - polymorph energy (0 for the lowest one) (eV/atom) = 0.114
! - electronic total energy (hartree per atom) = -0.107
! - magnetic moment (μB/f.u.) = 0.0